Entry 1:
Density functional theory data (GGA-PBE) for a relaxed structure of BeSbI2N.

a = 6.1556 Å, b = 6.1556 Å, c = 3.9635 Å
α = 90.00°, β = 90.00°, γ = 90.00°
Last column: nearest neighbours and their distance in Å.
Atoms (fractional coordinates):
1 N 0.0000 0.0000 0.5000  2 Sb 1.98
2 I 0.0000 0.5000 0.0000  2 Sb 3.08
3 I 0.5000 0.0000 0.0000  2 Sb 3.08
4 Be 0.5000 0.5000 0.5000  8 I 3.66, 2 Be 3.96
5 Sb 0.0000 0.0000 0.0000  2 N 1.98

Values from the calculation:
Space group: P4/mmm

---

Entry 2:
Density functional theory data (GGA-PBE) for a relaxed structure of BeSbI2N.

a = 5.5266 Å, b = 5.5266 Å, c = 4.7309 Å
α = 90.00°, β = 90.00°, γ = 90.00°
Last column: nearest neighbours and their distance in Å.
Atoms (fractional coordinates):
1 N 0.5000 0.5000 0.5000  8 I 3.64, 4 Sb 3.91
2 I 0.0000 0.5000 0.0000  2 Be 2.76
3 I 0.5000 0.0000 0.0000  2 Be 2.76
4 Sb 0.0000 0.0000 0.5000  2 Be 2.37
5 Be 0.0000 0.0000 0.0000  2 Sb 2.37

Values from the calculation:
Space group: P4/mmm

---

Entry 3:
Density functional theory data (GGA-PBE) for a relaxed structure of BeSbIN2.

a = 4.1490 Å, b = 4.1490 Å, c = 4.8911 Å
α = 90.00°, β = 90.00°, γ = 90.00°
Last column: nearest neighbours and their distance in Å.
Atoms (fractional coordinates):
1 Be 0.0000 0.0000 0.0000  4 N 2.07
2 N 0.0000 0.5000 0.0000  2 Be 2.07
3 N 0.5000 0.0000 0.0000  2 Be 2.07
4 Sb 0.5000 0.5000 0.5000  4 I 2.93, 8 N 3.21
5 I 0.0000 0.0000 0.5000  2 Be 2.45

Values from the calculation:
Space group: P4/mmm

---

Ordered E above lowest polymorph results: 640; 800; 126; unit meV per atom.
Ordered formation energy from raw total energies results: 5.5; 6.3; 7.9; unit eV per formula unit.